No. 1
DFT (GGA-PBE) results for an optimized crystal structure of Rb4US4.

a b c (Å): 8.444 8.444 8.444
angles (deg): 130.90 130.90 71.97
Fractional coordinates of all 9 atoms:
Rb 0.047 0.661 0.000
Rb 0.339 0.339 0.386
Rb 0.661 0.047 0.000
Rb 0.953 0.953 0.614
U 0.500 0.500 0.000
S 0.181 0.181 0.582
S 0.400 0.819 0.000
S 0.600 0.600 0.418
S 0.819 0.400 0.000

## Properties
The calculation puts the raw total energy at -42.04 eV/cell. The value obtained for the magnetization is 2.0 Bohr magnetons per cell.

No. 2
DFT (GGA-PBE) results for an optimized crystal structure of ZnAgNO2.

a b c (Å): 3.976 3.976 3.931
angles (deg): 90.00 90.00 90.00
Fractional coordinates of all 5 atoms:
Zn 0.000 0.000 0.000
Ag 0.500 0.500 0.500
N 0.000 0.000 0.500
O 0.000 0.500 0.000
O 0.500 0.000 0.000

## Properties
The calculation puts the raw total energy at -18.79 eV/cell. The value obtained for the magnetization is 3.3 Bohr magnetons per cell.

No. 3
DFT (GGA-PBE) results for an optimized crystal structure of CuSnSb2Te.

a b c (Å): 5.056 5.056 5.445
angles (deg): 90.00 90.00 90.00
Fractional coordinates of all 5 atoms:
Cu 0.000 0.000 0.000
Sn 0.500 0.500 0.500
Sb 0.000 0.500 0.000
Sb 0.500 0.000 0.000
Te 0.000 0.000 0.500

## Properties
The excess energy over the best structure of this formula in the dataset comes out at 0.000 eV/atom. The value obtained for the magnetization is 0.0 Bohr magnetons per cell.

No. 4
DFT (GGA-PBE) results for an optimized crystal structure of ZnCdMo.

a b c (Å): 2.807 4.430 8.327
angles (deg): 90.00 95.62 90.00
Fractional coordinates of all 6 atoms:
Zn 0.000 0.000 0.000
Zn 0.268 0.000 0.294
Cd 0.339 0.500 0.496
Cd 0.864 0.000 0.678
Mo 0.412 0.500 0.873
Mo 0.715 0.500 0.163

## Properties
The excess energy over the best structure of this formula in the dataset comes out at 0.000 eV/atom. The formation energy is 193.1 meV/atom. The value obtained for the magnetization is 0.0 Bohr magnetons per cell.

No. 5
DFT (GGA-PBE) results for an optimized crystal structure of V2Ru3Pt.

a b c (Å): 3.775 3.775 12.122
angles (deg): 98.86 98.86 90.00
Fractional coordinates of all 12 atoms:
V 0.047 0.294 0.089
V 0.294 0.047 0.589
V 0.706 0.953 0.411
V 0.953 0.706 0.911
Ru 0.125 0.875 0.250
Ru 0.209 0.453 0.416
Ru 0.453 0.209 0.916
Ru 0.547 0.791 0.084
Ru 0.791 0.547 0.584
Ru 0.875 0.125 0.750
Pt 0.375 0.625 0.750
Pt 0.625 0.375 0.250

## Properties
The formation energy is -214.6 meV/atom. The value obtained for the magnetization is 0.0 Bohr magnetons per cell.

No. 6
DFT (GGA-PBE) results for an optimized crystal structure of Sc4AsSeS2.

a b c (Å): 6.563 3.769 6.565
angles (deg): 90.00 109.20 90.00
Fractional coordinates of all 8 atoms:
Sc 0.230 0.000 0.233
Sc 0.239 0.500 0.756
Sc 0.761 0.500 0.244
Sc 0.770 0.000 0.767
As 0.500 0.000 0.000
Se 0.500 0.500 0.500
S 0.000 0.000 0.500
S 0.000 0.500 0.000

## Properties
The calculation puts the raw total energy at -55.31 eV/cell. The value obtained for the magnetization is 0.0 Bohr magnetons per cell.